1.
Entry from Alexandria: crystalline RbYReB at its relaxed geometry (PBE).

The calculated total energy comes out at -49.50 eV/cell. The energy of formation comes out at 1.8 eV/f.u.

It has space group Cm (No. 8), with a = 14.197 Å, b = 4.502 Å, c = 3.671 Å, α = 90.00°, β = 90.51° and γ = 90.00°. The asymmetric unit holds Rb at (0.000, 0.000, 0.000), Y at (0.250, 0.500, 0.491), Re at (0.284, 0.000, 0.992) and B at (0.347, 0.000, 0.494).

2.
Entry from Alexandria: crystalline RbYReB at its relaxed geometry (PBE).

The calculated total energy comes out at -76.47 eV/cell. The energy of formation comes out at 1.1 eV/f.u.

It has space group R3m (No. 160, hexagonal axes), with a = 3.7723 Å, b = 3.7723 Å, c = 26.0133 Å, α = 90.00°, β = 90.00° and γ = 120.00°. The asymmetric unit holds Rb at (0.0000, 0.0000, 0.0000), Y at (0.0000, 0.0000, 0.1770), Re at (0.0000, 0.0000, 0.7736) and B at (0.0000, 0.0000, 0.4447).

3.
Entry from Alexandria: crystalline RbYReB at its relaxed geometry (PBE).

The calculated total energy comes out at -49.48 eV/cell. The energy of formation comes out at 1.8 eV/f.u.

It has space group Cm (No. 8), with a = 14.648 Å, b = 4.527 Å, c = 3.650 Å, α = 90.00°, β = 104.23° and γ = 90.00°. The asymmetric unit holds Rb at (0.000, 0.000, 0.000), Y at (0.250, 0.500, 0.253), Re at (0.282, 0.000, 0.785) and B at (0.347, 0.000, 0.348).

4.
Entry from Alexandria: crystalline RbYReB at its relaxed geometry (PBE).

The calculated total energy comes out at -51.00 eV/cell. The energy of formation comes out at 1.1 eV/f.u.

It has space group Cm (No. 8), with a = 6.535 Å, b = 3.774 Å, c = 8.921 Å, α = 90.00°, β = 103.81° and γ = 90.00°. The asymmetric unit holds Rb at (0.000, 0.000, 0.000), Y at (0.328, 0.500, 0.470), Re at (0.063, 0.500, 0.680) and B at (0.225, 0.000, 0.667).

5.
Entry from Alexandria: crystalline RbBRh3 at its relaxed geometry (PBE).

The calculated total energy comes out at -27.45 eV/cell. The energy of formation comes out at 2.2 eV/f.u.

It has space group Pm-3m (No. 221), with a = 4.323 Å, b = 4.323 Å, c = 4.323 Å, α = 90.00°, β = 90.00° and γ = 90.00°. The asymmetric unit holds Rb at (0.000, 0.000, 0.000), B at (0.500, 0.500, 0.500) and Rh at (0.000, 0.500, 0.500).

6.
Entry from Alexandria: crystalline Rb3BRh at its relaxed geometry (PBE).

The calculated total energy comes out at -9.90 eV/cell. The energy of formation comes out at 7.0 eV/f.u.

It has space group Pm-3m (No. 221), with a = 6.022 Å, b = 6.022 Å, c = 6.022 Å, α = 90.00°, β = 90.00° and γ = 90.00°. The asymmetric unit holds Rb at (0.000, 0.000, 0.500), B at (0.500, 0.500, 0.500) and Rh at (0.000, 0.000, 0.000).

7.
Entry from Alexandria: crystalline RbB2Rh2 at its relaxed geometry (PBE).

The calculated total energy comes out at -58.47 eV/cell. The energy of formation comes out at -0.2 eV/f.u.

It has space group I4/mmm (No. 139), with a = 4.139 Å, b = 4.139 Å, c = 12.650 Å, α = 90.00°, β = 90.00° and γ = 90.00°. The asymmetric unit holds Rb at (0.000, 0.000, 0.000), B at (0.000, 0.500, 0.250) and Rh at (0.000, 0.000, 0.256).

8.
Entry from Alexandria: crystalline RbBRh3 at its relaxed geometry (PBE).

The calculated total energy comes out at -13.98 eV/cell. The energy of formation comes out at 15.7 eV/f.u.

It has space group Pm-3m (No. 221), with a = 4.862 Å, b = 4.862 Å, c = 4.862 Å, α = 90.00°, β = 90.00° and γ = 90.00°. The asymmetric unit holds Rb at (0.000, 0.000, 0.000), B at (0.500, 0.500, 0.500) and Rh at (0.000, 0.000, 0.500).

9.
Entry from Alexandria: crystalline RbB2Rh2 at its relaxed geometry (PBE).

The calculated total energy comes out at -60.31 eV/cell. The energy of formation comes out at -1.1 eV/f.u.

It has space group C2/m (No. 12), with a = 5.620 Å, b = 5.619 Å, c = 6.788 Å, α = 90.00°, β = 114.25° and γ = 90.00°. The asymmetric unit holds Rb at (0.000, 0.000, 0.000), B at (0.200, 0.500, 0.399) and Rh at (0.000, 0.250, 0.500).

10.
Entry from Alexandria: crystalline RbBSbRh2 at its relaxed geometry (PBE).

The calculated total energy comes out at -12.15 eV/cell. The uncorrected formation energy is 2.864 eV/atom.

It has space group P4/mmm (No. 123), with a = 4.811 Å, b = 4.811 Å, c = 6.189 Å, α = 90.00°, β = 90.00° and γ = 90.00°. The asymmetric unit holds Rb at (0.000, 0.000, 0.000), B at (0.500, 0.500, 0.500), Sb at (0.000, 0.000, 0.500) and Rh at (0.000, 0.500, 0.000).

11.
Entry from Alexandria: crystalline RbBSb2Rh at its relaxed geometry (PBE).

The calculated total energy comes out at -10.31 eV/cell. The uncorrected formation energy is 2.585 eV/atom.

It has space group P4/mmm (No. 123), with a = 6.004 Å, b = 6.004 Å, c = 4.897 Å, α = 90.00°, β = 90.00° and γ = 90.00°. The asymmetric unit holds Rb at (0.000, 0.000, 0.000), B at (0.500, 0.500, 0.500), Sb at (0.000, 0.500, 0.000) and Rh at (0.000, 0.000, 0.500).

12.
Entry from Alexandria: crystalline RbSc2BRh at its relaxed geometry (PBE).

The calculated total energy comes out at -15.93 eV/cell. The energy of formation comes out at 11.7 eV/f.u.

It has space group P4/mmm (No. 123), with a = 4.972 Å, b = 4.972 Å, c = 4.633 Å, α = 90.00°, β = 90.00° and γ = 90.00°. The asymmetric unit holds Rb at (0.000, 0.000, 0.000), Sc at (0.000, 0.500, 0.000), B at (0.500, 0.500, 0.500) and Rh at (0.000, 0.000, 0.500).

13.
Entry from Alexandria: crystalline RbBRu3 at its relaxed geometry (PBE).

The calculated total energy comes out at -30.16 eV/cell. The energy of formation comes out at 5.3 eV/f.u.

It has space group Pm-3m (No. 221), with a = 4.326 Å, b = 4.326 Å, c = 4.326 Å, α = 90.00°, β = 90.00° and γ = 90.00°. The asymmetric unit holds Rb at (0.000, 0.000, 0.000), B at (0.500, 0.500, 0.500) and Ru at (0.000, 0.500, 0.500).

14.
Entry from Alexandria: crystalline Rb2BRu at its relaxed geometry (PBE).

The calculated total energy comes out at -57.46 eV/cell. The energy of formation comes out at 3.5 eV/f.u.

It has space group I-42d (No. 122), with a = 12.478 Å, b = 12.478 Å, c = 4.038 Å, α = 90.00°, β = 90.00° and γ = 90.00°. The asymmetric unit holds Rb at (0.009, 0.250, 0.125), B at (0.000, 0.000, 0.500) and Ru at (0.000, 0.000, 0.000).

15.
Entry from Alexandria: crystalline RbBRu3 at its relaxed geometry (PBE).

The calculated total energy comes out at -16.19 eV/cell. The energy of formation comes out at 19.3 eV/f.u.

It has space group Pm-3m (No. 221), with a = 4.831 Å, b = 4.831 Å, c = 4.831 Å, α = 90.00°, β = 90.00° and γ = 90.00°. The asymmetric unit holds Rb at (0.000, 0.000, 0.000), B at (0.500, 0.500, 0.500) and Ru at (0.000, 0.000, 0.500).

16.
Entry from Alexandria: crystalline RbBRu2 at its relaxed geometry (PBE).

The calculated total energy comes out at -88.65 eV/cell. The energy of formation comes out at 4.0 eV/f.u.

It has space group I4_1/amd (No. 141, origin choice 2), with a = 6.422 Å, b = 6.422 Å, c = 9.064 Å, α = 90.00°, β = 90.00° and γ = 90.00°. The asymmetric unit holds Rb at (0.000, 0.250, 0.375), B at (0.000, 0.250, 0.875) and Ru at (0.000, 0.000, 0.000).

17.
Entry from Alexandria: crystalline RbB3Ru at its relaxed geometry (PBE).

The calculated total energy comes out at -26.57 eV/cell. The energy of formation comes out at 3.7 eV/f.u.

It has space group Pm-3m (No. 221), with a = 4.244 Å, b = 4.244 Å, c = 4.244 Å, α = 90.00°, β = 90.00° and γ = 90.00°. The asymmetric unit holds Rb at (0.000, 0.000, 0.000), B at (0.000, 0.500, 0.500) and Ru at (0.500, 0.500, 0.500).

18.
Entry from Alexandria: crystalline RbB3Ru at its relaxed geometry (PBE).

The calculated total energy comes out at -10.79 eV/cell. The energy of formation comes out at 19.5 eV/f.u.

It has space group Pm-3m (No. 221), with a = 4.302 Å, b = 4.302 Å, c = 4.302 Å, α = 90.00°, β = 90.00° and γ = 90.00°. The asymmetric unit holds Rb at (0.000, 0.000, 0.000), B at (0.000, 0.000, 0.500) and Ru at (0.500, 0.500, 0.500).

19.
Entry from Alexandria: crystalline Rb3BRu at its relaxed geometry (PBE).

The calculated total energy comes out at -10.12 eV/cell. The energy of formation comes out at 8.7 eV/f.u.

It has space group Pm-3m (No. 221), with a = 6.228 Å, b = 6.228 Å, c = 6.228 Å, α = 90.00°, β = 90.00° and γ = 90.00°. The asymmetric unit holds Rb at (0.000, 0.000, 0.500), B at (0.000, 0.000, 0.000) and Ru at (0.500, 0.500, 0.500).

20.
Entry from Alexandria: crystalline RbB2Ru2 at its relaxed geometry (PBE).

The calculated total energy comes out at -63.78 eV/cell. The energy of formation comes out at 1.0 eV/f.u.

It has space group I4/mmm (No. 139), with a = 4.131 Å, b = 4.131 Å, c = 12.631 Å, α = 90.00°, β = 90.00° and γ = 90.00°. The asymmetric unit holds Rb at (0.000, 0.000, 0.000), B at (0.000, 0.500, 0.250) and Ru at (0.000, 0.000, 0.261).

21.
Entry from Alexandria: crystalline Rb2TaBRu at its relaxed geometry (PBE).

The calculated total energy comes out at -19.77 eV/cell. The energy of formation comes out at 10.0 eV/f.u.

It has space group P4/mmm (No. 123), with a = 6.186 Å, b = 6.186 Å, c = 3.872 Å, α = 90.00°, β = 90.00° and γ = 90.00°. The asymmetric unit holds Rb at (0.000, 0.500, 0.000), Ta at (0.000, 0.000, 0.500), B at (0.500, 0.500, 0.000) and Ru at (0.500, 0.500, 0.500).

22.
Entry from Alexandria: crystalline Rb2VBRu at its relaxed geometry (PBE).

The calculated total energy comes out at -17.78 eV/cell. The energy of formation comes out at 9.2 eV/f.u.

It has space group P4/mmm (No. 123), with a = 6.625 Å, b = 6.625 Å, c = 4.426 Å, α = 90.00°, β = 90.00° and γ = 90.00°. The asymmetric unit holds Rb at (0.000, 0.500, 0.000), V at (0.000, 0.000, 0.500), B at (0.500, 0.500, 0.500) and Ru at (0.000, 0.000, 0.000).

23.
Entry from Alexandria: crystalline Rb5B2S5 at its relaxed geometry (PBE).

The calculated total energy comes out at -89.84 eV/cell. The uncorrected formation energy is -0.507 eV/atom.

It has space group C2/m (No. 12), with a = 15.370 Å, b = 4.354 Å, c = 10.558 Å, α = 90.00°, β = 113.26° and γ = 90.00°. The asymmetric unit holds Rb at (0.000, 0.000, 0.000), Rb at (0.145, 0.000, 0.506), Rb at (0.246, 0.000, 0.164), B at (0.014, 0.500, 0.702), S at (0.000, 0.500, 0.500), S at (0.090, 0.000, 0.777) and S at (0.095, 0.500, 0.263).

24.
Entry from Alexandria: crystalline Rb2BS at its relaxed geometry (PBE).

The calculated total energy comes out at -41.02 eV/cell. The uncorrected formation energy is 0.621 eV/atom.

It has space group Fm-3m (No. 225), with a = 7.879 Å, b = 7.879 Å, c = 7.879 Å, α = 90.00°, β = 90.00° and γ = 90.00°. The asymmetric unit holds Rb at (0.250, 0.250, 0.250), B at (0.000, 0.000, 0.000) and S at (0.000, 0.000, 0.500).

25.
Entry from Alexandria: crystalline Rb3B2S4 at its relaxed geometry (PBE).

The calculated total energy comes out at -75.74 eV/cell. The uncorrected formation energy is -0.567 eV/atom.

It has space group C2/m (No. 12), with a = 13.175 Å, b = 3.507 Å, c = 11.102 Å, α = 90.00°, β = 104.73° and γ = 90.00°. The asymmetric unit holds Rb at (0.000, 0.000, 0.000), Rb at (0.144, 0.500, 0.632), B at (0.119, 0.500, 0.281), S at (0.079, 0.000, 0.346) and S at (0.192, 0.500, 0.167).

26.
Entry from Alexandria: crystalline RbBS2 at its relaxed geometry (PBE).

The calculated total energy comes out at -73.12 eV/cell. The uncorrected formation energy is -0.595 eV/atom.

It has space group I-42d (No. 122), with a = 6.434 Å, b = 6.434 Å, c = 7.885 Å, α = 90.00°, β = 90.00° and γ = 90.00°. The asymmetric unit holds Rb at (0.000, 0.000, 0.000), B at (0.000, 0.000, 0.500) and S at (0.106, 0.250, 0.625).

27.
Entry from Alexandria: crystalline Rb3BS3 at its relaxed geometry (PBE).

The calculated total energy comes out at -84.33 eV/cell. The uncorrected formation energy is -0.878 eV/atom.

It has space group R3m (No. 160, hexagonal axes), with a = 8.4729 Å, b = 8.4729 Å, c = 12.8997 Å, α = 90.00°, β = 90.00° and γ = 120.00°. The asymmetric unit holds Rb at (0.1681, 0.3363, 0.0000), B at (0.0000, 0.0000, 0.5326) and S at (0.0823, 0.5412, 0.1922).